No. 1
First-principles (PBE-GGA) data for crystalline NpPa2Si2Ru5 at its relaxed geometry, as listed in Alexandria.

Computed properties:
Raw formation energy, meV per atom: -490
Symmetry: P4/mbm
Final energy, eV/atom: -9.4062

a b c (Å): 9.9527 9.9527 3.5174
angles (deg): 90.00 90.00 90.00
With the nearest neighbours (Å) after each atom.
Fractional coordinates of all 20 atoms:
Np (0.0000, 0.0000, 0.0000)  8 Ru 2.86
Np (0.5000, 0.5000, 0.0000)  8 Ru 2.86
Pa (0.1738, 0.3262, 0.0000)  3 Si 2.86-3.00, 10 Ru 3.01-3.20
Pa (0.3262, 0.8262, 0.0000)  3 Si 2.86-3.00, 10 Ru 3.01-3.20
Pa (0.6738, 0.1738, 0.0000)  3 Si 2.86-3.00, 10 Ru 3.01-3.20
Pa (0.8262, 0.6738, 0.0000)  3 Si 2.86-3.00, 10 Ru 3.01-3.20
Si (0.1230, 0.6230, 0.0000)  6 Ru 2.44-2.47
Si (0.3770, 0.1230, 0.0000)  6 Ru 2.44-2.47
Si (0.6230, 0.8770, 0.0000)  6 Ru 2.44-2.47
Si (0.8770, 0.3770, 0.0000)  6 Ru 2.44-2.47
Ru (0.0000, 0.5000, 0.5000)  4 Si 2.47
Ru (0.0707, 0.7843, 0.5000)  2 Si 2.44
Ru (0.2157, 0.0707, 0.5000)  2 Si 2.44
Ru (0.2843, 0.5707, 0.5000)  2 Si 2.44
Ru (0.4293, 0.2843, 0.5000)  2 Si 2.44
Ru (0.5000, 0.0000, 0.5000)  4 Si 2.47
Ru (0.5707, 0.7157, 0.5000)  2 Si 2.44
Ru (0.7157, 0.4293, 0.5000)  2 Si 2.44
Ru (0.7843, 0.9293, 0.5000)  2 Si 2.44
Ru (0.9293, 0.2157, 0.5000)  2 Si 2.44

***

No. 2
First-principles (PBE-GGA) data for crystalline LiSmZn2Ag4 at its relaxed geometry, as listed in Alexandria.

Computed properties:
Energy of formation, eV/atom: -0.193
Symmetry: R-3m
Final energy, eV/atom: -2.7664

a b c (Å): 8.5689 8.5689 8.5689
angles (deg): 31.13 31.13 31.13
With the nearest neighbours (Å) after each atom.
Fractional coordinates of all 8 atoms:
Li (0.0000, 0.0000, 0.0000)  8 Ag 2.52-2.80
Sm (0.5000, 0.5000, 0.5000)  8 Ag 3.08-3.20, 6 Zn 3.38
Zn (0.2520, 0.2520, 0.2520)  7 Ag 2.71-2.88
Zn (0.7480, 0.7480, 0.7480)  7 Ag 2.71-2.88
Ag (0.1029, 0.1029, 0.1029)  1 Li 2.52, 3 Zn 2.71
Ag (0.3691, 0.3691, 0.3691)  3 Li 2.80, 4 Zn 2.86-2.88, 3 Ag 3.12
Ag (0.6309, 0.6309, 0.6309)  3 Li 2.80, 4 Zn 2.86-2.88, 3 Ag 3.12
Ag (0.8971, 0.8971, 0.8971)  1 Li 2.52, 3 Zn 2.71

***

No. 3
First-principles (PBE-GGA) data for crystalline Cs2Rb4Au at its relaxed geometry, as listed in Alexandria.

Computed properties:
Energy of formation, eV/atom: -0.060
Symmetry: I4/mmm
Final energy, eV/atom: -1.3251
Offset from the most stable computed form, meV/atom: 15

a b c (Å): 13.6290 13.6290 13.6290
angles (deg): 150.54 150.54 42.15
With the nearest neighbours (Å) after each atom.
Fractional coordinates of all 7 atoms:
Cs (0.1722, 0.1722, 0.0000)  5 Rb 4.92-4.99
Cs (0.8278, 0.8278, 0.0000)  5 Rb 4.92-4.99
Rb (0.0000, 0.5000, 0.5000)  2 Au 3.47
Rb (0.3655, 0.3655, 0.0000)  1 Au 3.42
Rb (0.5000, 0.0000, 0.5000)  2 Au 3.47
Rb (0.6345, 0.6345, 0.0000)  1 Au 3.42
Au (0.5000, 0.5000, 0.0000)  6 Rb 3.42-3.47

***

No. 4
First-principles (PBE-GGA) data for crystalline Ni2RhSe3 at its relaxed geometry, as listed in Alexandria.

Computed properties:
Raw formation energy, meV per atom: -226
Symmetry: Fdd2
Final energy, eV/atom: -5.1202
Offset from the most stable computed form, meV/atom: 42

a b c (Å): 12.3233 6.4936 11.7427
angles (deg): 79.35 31.19 69.46
With the nearest neighbours (Å) after each atom.
Fractional coordinates of all 24 atoms:
Ni (0.0000, 0.0000, 0.0000)  4 Se 2.26-2.41
Ni (0.2500, 0.2500, 0.2500)  4 Se 2.26-2.41
Ni (0.2922, 0.6642, 0.3394)  4 Se 2.29-2.41
Ni (0.4010, 0.4010, 0.5990)  4 Se 2.28-2.33
Ni (0.5458, 0.9106, 0.5858)  4 Se 2.29-2.41
Ni (0.6510, 0.6510, 0.8490)  4 Se 2.28-2.33
Ni (0.6642, 0.2922, 0.7042)  4 Se 2.29-2.41
Ni (0.9106, 0.5458, 0.9578)  4 Se 2.29-2.41
Rh (0.0713, 0.3598, 0.0720)  4 Se 2.37-2.48
Rh (0.1780, 0.7531, 0.1787)  4 Se 2.37-2.48
Rh (0.3598, 0.0713, 0.4969)  4 Se 2.37-2.48
Rh (0.7531, 0.1780, 0.8902)  4 Se 2.37-2.48
Se (0.0245, 0.5975, 0.4782)  3 Ni 2.26-2.33, 1 Rh 2.37
Se (0.0368, 0.1658, 0.3001)  2 Ni 2.41, 2 Rh 2.47-2.48
Se (0.1658, 0.0368, 0.4973)  2 Ni 2.41, 2 Rh 2.47-2.48
Se (0.2301, 0.4763, 0.5711)  3 Ni 2.28-2.31, 1 Rh 2.40
Se (0.3503, 0.7718, 0.6525)  3 Ni 2.26-2.33, 1 Rh 2.37
Se (0.4763, 0.2301, 0.7225)  3 Ni 2.28-2.31, 1 Rh 2.40
Se (0.5275, 0.6789, 0.7737)  3 Ni 2.28-2.31, 1 Rh 2.40
Se (0.5975, 0.0245, 0.8997)  3 Ni 2.26-2.33, 1 Rh 2.37
Se (0.6789, 0.5275, 0.0199)  3 Ni 2.28-2.31, 1 Rh 2.40
Se (0.7527, 0.9499, 0.0842)  2 Ni 2.41, 2 Rh 2.47-2.48
Se (0.7718, 0.3503, 0.2255)  3 Ni 2.26-2.33, 1 Rh 2.37
Se (0.9499, 0.7527, 0.2132)  2 Ni 2.41, 2 Rh 2.47-2.48

***

No. 5
First-principles (PBE-GGA) data for crystalline NaTiSi2Mo at its relaxed geometry, as listed in Alexandria.

Computed properties:
Raw formation energy, meV per atom: 1819
Symmetry: P4/mmm
Final energy, eV/atom: -4.3591

a b c (Å): 4.6021 4.6021 4.4673
angles (deg): 90.00 90.00 90.00
With the nearest neighbours (Å) after each atom.
Fractional coordinates of all 5 atoms:
Na (0.0000, 0.0000, 0.0000)  2 Ti 2.23, 4 Si 2.30
Ti (0.0000, 0.0000, 0.5000)  2 Na 2.23
Si (0.0000, 0.5000, 0.0000)  2 Na 2.30
Si (0.5000, 0.0000, 0.0000)  2 Na 2.30
Mo (0.5000, 0.5000, 0.5000)  8 Si 3.21, 4 Ti 3.25

***

No. 6
First-principles (PBE-GGA) data for crystalline AgI4 at its relaxed geometry, as listed in Alexandria.

Computed properties:
Raw formation energy, meV per atom: 245
Symmetry: Pm-3m
Final energy, eV/atom: -1.5655
Offset from the most stable computed form, meV/atom: 323

a b c (Å): 5.7058 5.7058 5.7058
angles (deg): 90.00 90.00 90.00
With the nearest neighbours (Å) after each atom.
Fractional coordinates of all 5 atoms:
Ag (0.0000, 0.0000, 0.0000)  6 I 2.85
I (0.0000, 0.0000, 0.5000)  2 Ag 2.85
I (0.0000, 0.5000, 0.0000)  2 Ag 2.85
I (0.5000, 0.0000, 0.0000)  2 Ag 2.85
I (0.5000, 0.5000, 0.5000)  12 I 4.03

***

No. 7
First-principles (PBE-GGA) data for crystalline NaLaEuCd at its relaxed geometry, as listed in Alexandria.

Computed properties:
Energy of formation, eV/atom: -0.046
Symmetry: F-43m
Final energy, eV/atom: -4.4052

a b c (Å): 5.7005 5.7005 5.7005
angles (deg): 60.00 60.00 60.00
With the nearest neighbours (Å) after each atom.
Fractional coordinates of all 4 atoms:
Na (0.0000, 0.0000, 0.0000)  4 La 3.49, 4 Eu 3.49
La (0.7500, 0.7500, 0.7500)  4 Cd 3.49, 4 Na 3.49
Eu (0.2500, 0.2500, 0.2500)  4 Cd 3.49, 4 Na 3.49
Cd (0.5000, 0.5000, 0.5000)  4 La 3.49, 4 Eu 3.49

***

No. 8
First-principles (PBE-GGA) data for crystalline CuSn3B at its relaxed geometry, as listed in Alexandria.

Computed properties:
Energy of formation, eV/atom: 0.756
Symmetry: Pm-3m
Final energy, eV/atom: -3.8001
Offset from the most stable computed form, meV/atom: 0

a b c (Å): 4.7998 4.7998 4.7998
angles (deg): 90.00 90.00 90.00
With the nearest neighbours (Å) after each atom.
Fractional coordinates of all 5 atoms:
Cu (0.0000, 0.0000, 0.0000)  12 Sn 3.39
Sn (0.0000, 0.5000, 0.5000)  2 B 2.40
Sn (0.5000, 0.0000, 0.5000)  2 B 2.40
Sn (0.5000, 0.5000, 0.0000)  2 B 2.40
B (0.5000, 0.5000, 0.5000)  6 Sn 2.40

***

No. 9
First-principles (PBE-GGA) data for crystalline FeSiAs2 at its relaxed geometry, as listed in Alexandria.

Computed properties:
Raw formation energy, meV per atom: 276
Symmetry: Imm2
Final energy, eV/atom: -5.5201

a b c (Å): 6.4216 6.4216 6.4216
angles (deg): 151.62 146.92 44.13
With the nearest neighbours (Å) after each atom.
Fractional coordinates of all 4 atoms:
Fe (0.0000, 0.0000, 0.0000)  2 Si 2.26
Si (0.3882, 0.8882, 0.5000)  2 Fe 2.26, 4 As 2.53
As (0.5882, 0.5882, 0.0000)  4 Fe 2.63, 2 Si 2.85
As (0.8239, 0.3239, 0.5000)  4 Si 2.53, 2 Fe 2.62

***

No. 10
First-principles (PBE-GGA) data for crystalline YNbH2 at its relaxed geometry, as listed in Alexandria.

Computed properties:
Symmetry: Fm-3m
Final energy, eV/atom: -5.3391
Offset from the most stable computed form, meV/atom: 673

a b c (Å): 4.1677 4.1677 4.1677
angles (deg): 60.00 60.00 60.00
With the nearest neighbours (Å) after each atom.
Fractional coordinates of all 4 atoms:
Y (0.0000, 0.0000, 0.0000)  8 H 2.55
Nb (0.5000, 0.5000, 0.5000)  8 H 2.55
H (0.2500, 0.2500, 0.2500)  4 Nb 2.55, 4 Y 2.55
H (0.7500, 0.7500, 0.7500)  4 Nb 2.55, 4 Y 2.55

***

No. 11
First-principles (PBE-GGA) data for crystalline InGaSb2H at its relaxed geometry, as listed in Alexandria.

Computed properties:
Symmetry: P4/mmm
Final energy, eV/atom: -3.3383

a b c (Å): 5.7466 5.7466 3.3508
angles (deg): 90.00 90.00 90.00
With the nearest neighbours (Å) after each atom.
Fractional coordinates of all 5 atoms:
In (0.0000, 0.0000, 0.0000)  8 Sb 3.33, 2 In 3.35
Ga (0.5000, 0.5000, 0.5000)  2 H 1.68
Sb (0.0000, 0.5000, 0.5000)  2 Ga 2.87
Sb (0.5000, 0.0000, 0.5000)  2 Ga 2.87
H (0.5000, 0.5000, 0.0000)  2 Ga 1.68

***

No. 12
First-principles (PBE-GGA) data for crystalline Re2HgOs at its relaxed geometry, as listed in Alexandria.

Computed properties:
Energy of formation, eV/atom: 0.918
Symmetry: P4/mmm
Final energy, eV/atom: -8.1893

a b c (Å): 3.9517 3.9517 4.0660
angles (deg): 90.00 90.00 90.00
With the nearest neighbours (Å) after each atom.
Fractional coordinates of all 4 atoms:
Re (0.0000, 0.5000, 0.0000)  4 Re 2.79, 4 Hg 2.83, 4 Os 2.83
Re (0.5000, 0.0000, 0.0000)  4 Re 2.79, 4 Hg 2.83, 4 Os 2.83
Hg (0.0000, 0.0000, 0.5000)  4 Os 2.79, 8 Re 2.83
Os (0.5000, 0.5000, 0.5000)  4 Hg 2.79, 8 Re 2.83

***

No. 13
First-principles (PBE-GGA) data for crystalline Tl3HgP2O8 at its relaxed geometry, as listed in Alexandria.

Computed properties:
Raw formation energy, meV per atom: -1387
Symmetry: P-3m1
Final energy, eV/atom: -5.5215

a b c (Å): 5.7716 5.7716 7.8301
angles (deg): 90.00 90.00 120.00
With the nearest neighbours (Å) after each atom.
Fractional coordinates of all 14 atoms:
Tl (0.0000, 0.0000, 0.0000)  12 O 3.02-3.35
Tl (0.3333, 0.6667, 0.7259)  1 O 2.48
Tl (0.6667, 0.3333, 0.2741)  1 O 2.48
Hg (0.0000, 0.0000, 0.5000)  6 O 2.40
P (0.3333, 0.6667, 0.2386)  4 O 1.53-1.57
P (0.6667, 0.3333, 0.7614)  4 O 1.53-1.57
O (0.1852, 0.3705, 0.3054)  1 P 1.57
O (0.1852, 0.8148, 0.3054)  1 P 1.57
O (0.3333, 0.6667, 0.0431)  1 P 1.53
O (0.3705, 0.1852, 0.6946)  1 P 1.57
O (0.6295, 0.8148, 0.3054)  1 P 1.57
O (0.6667, 0.3333, 0.9569)  1 P 1.53
O (0.8148, 0.1852, 0.6946)  1 P 1.57
O (0.8148, 0.6295, 0.6946)  1 P 1.57

***

No. 14
First-principles (PBE-GGA) data for crystalline NiPtAu2 at its relaxed geometry, as listed in Alexandria.

Computed properties:
Energy of formation, eV/atom: 0.104
Symmetry: I4/mmm
Final energy, eV/atom: -4.4907
Offset from the most stable computed form, meV/atom: 85

a b c (Å): 4.8604 4.8604 4.8604
angles (deg): 131.39 131.39 71.19
With the nearest neighbours (Å) after each atom.
Fractional coordinates of all 4 atoms:
Ni (0.0000, 0.0000, 0.0000)  8 Au 2.81, 4 Pt 2.83
Pt (0.5000, 0.5000, 0.0000)  8 Au 2.81, 4 Ni 2.83
Au (0.2500, 0.7500, 0.5000)  4 Ni 2.81, 4 Pt 2.81, 4 Au 2.83
Au (0.7500, 0.2500, 0.5000)  4 Ni 2.81, 4 Pt 2.81, 4 Au 2.83

***

No. 15
First-principles (PBE-GGA) data for crystalline Ag4Ge at its relaxed geometry, as listed in Alexandria.

Computed properties:
Energy of formation, eV/atom: 0.489
Symmetry: Pm-3m
Final energy, eV/atom: -2.7152

a b c (Å): 4.8751 4.8751 4.8751
angles (deg): 90.00 90.00 90.00
With the nearest neighbours (Å) after each atom.
Fractional coordinates of all 5 atoms:
Ag (0.0000, 0.0000, 0.0000)  12 Ag 3.45
Ag (0.0000, 0.5000, 0.5000)  2 Ge 2.44
Ag (0.5000, 0.0000, 0.5000)  2 Ge 2.44
Ag (0.5000, 0.5000, 0.0000)  2 Ge 2.44
Ge (0.5000, 0.5000, 0.5000)  6 Ag 2.44

***

No. 16
First-principles (PBE-GGA) data for crystalline AcNd2Y2 at its relaxed geometry, as listed in Alexandria.

Computed properties:
Energy of formation, eV/atom: 0.128
Symmetry: C2/c
Final energy, eV/atom: -5.1861
Offset from the most stable computed form, meV/atom: 0

a b c (Å): 6.4698 6.4698 9.6748
angles (deg): 109.10 109.10 85.88
With the nearest neighbours (Å) after each atom.
Fractional coordinates of all 10 atoms:
Ac (0.1910, 0.8090, 0.7500)  6 Nd 3.57-3.66, 4 Y 3.74-3.81
Ac (0.8090, 0.1910, 0.2500)  6 Nd 3.57-3.66, 4 Y 3.74-3.81
Nd (0.0679, 0.7103, 0.3421)  1 Nd 3.31, 4 Y 3.34-3.60, 3 Ac 3.57-3.66
Nd (0.2897, 0.9321, 0.1579)  1 Nd 3.31, 4 Y 3.34-3.60, 3 Ac 3.57-3.66
Nd (0.7103, 0.0679, 0.8421)  1 Nd 3.31, 4 Y 3.34-3.60, 3 Ac 3.57-3.66
Nd (0.9321, 0.2897, 0.6579)  1 Nd 3.31, 4 Y 3.34-3.60, 3 Ac 3.57-3.66
Y (0.2771, 0.3853, 0.0404)  4 Nd 3.34-3.60, 2 Y 3.72-3.74
Y (0.3853, 0.2771, 0.5404)  4 Nd 3.34-3.60, 2 Y 3.72-3.74
Y (0.6147, 0.7229, 0.4596)  4 Nd 3.34-3.60, 2 Y 3.72-3.74
Y (0.7229, 0.6147, 0.9596)  4 Nd 3.34-3.60, 2 Y 3.72-3.74

***

No. 17
First-principles (PBE-GGA) data for crystalline BaRePb2 at its relaxed geometry, as listed in Alexandria.

Computed properties:
Energy of formation, eV/atom: 0.619
Symmetry: I-42d
Final energy, eV/atom: -4.8277
Offset from the most stable computed form, meV/atom: 202

a b c (Å): 9.5160 9.5160 9.5160
angles (deg): 142.33 142.33 54.33
With the nearest neighbours (Å) after each atom.
Fractional coordinates of all 8 atoms:
Ba (0.0000, 0.0000, 0.0000)  8 Pb 3.83-4.24
Ba (0.7500, 0.2500, 0.5000)  8 Pb 3.83-4.24
Re (0.2500, 0.7500, 0.5000)  4 Pb 2.63
Re (0.5000, 0.5000, 0.0000)  4 Pb 2.63
Pb (0.3309, 0.6250, 0.2059)  2 Re 2.63
Pb (0.3750, 0.5809, 0.7059)  2 Re 2.63
Pb (0.4191, 0.1250, 0.7941)  2 Re 2.63
Pb (0.8750, 0.6691, 0.2941)  2 Re 2.63

***

No. 18
First-principles (PBE-GGA) data for crystalline Ba2HgBi2 at its relaxed geometry, as listed in Alexandria.

Computed properties:
Energy of formation, eV/atom: -0.703
Symmetry: C2/m
Final energy, eV/atom: -3.0851
Offset from the most stable computed form, meV/atom: 35

a b c (Å): 7.0729 7.0729 12.5099
angles (deg): 110.30 110.30 42.30
With the nearest neighbours (Å) after each atom.
Fractional coordinates of all 10 atoms:
Ba (0.0206, 0.0206, 0.3359)  2 Hg 3.61, 6 Bi 3.69-3.79
Ba (0.1807, 0.1807, 0.1143)  6 Bi 3.65-3.87, 2 Hg 3.76, 1 Ba 4.06
Ba (0.8193, 0.8193, 0.8857)  6 Bi 3.65-3.87, 2 Hg 3.76, 1 Ba 4.06
Ba (0.9794, 0.9794, 0.6641)  2 Hg 3.61, 6 Bi 3.69-3.79
Hg (0.2824, 0.2824, 0.6538)  3 Bi 3.14-3.42
Hg (0.7176, 0.7176, 0.3462)  3 Bi 3.14-3.42
Bi (0.3657, 0.3657, 0.4253)  3 Hg 3.14-3.42, 1 Bi 3.34
Bi (0.4556, 0.4556, 0.1001)  1 Bi 3.13
Bi (0.5444, 0.5444, 0.8999)  1 Bi 3.13
Bi (0.6343, 0.6343, 0.5747)  3 Hg 3.14-3.42, 1 Bi 3.34

***

No. 19
First-principles (PBE-GGA) data for crystalline Ca2CoAuC at its relaxed geometry, as listed in Alexandria.

Computed properties:
Energy of formation, eV/atom: -0.283
Symmetry: P4/mmm
Final energy, eV/atom: -5.0055

a b c (Å): 5.1398 5.1398 3.6117
angles (deg): 90.00 90.00 90.00
With the nearest neighbours (Å) after each atom.
Fractional coordinates of all 5 atoms:
Ca (0.0000, 0.5000, 0.0000)  2 C 2.57
Ca (0.5000, 0.0000, 0.0000)  2 C 2.57
Co (0.0000, 0.0000, 0.5000)  2 C 1.81
Au (0.5000, 0.5000, 0.5000)  8 Ca 3.14
C (0.0000, 0.0000, 0.0000)  2 Co 1.81

***

No. 20
First-principles (PBE-GGA) data for crystalline TbPtBr at its relaxed geometry, as listed in Alexandria.

Computed properties:
Raw formation energy, meV per atom: -1308
Symmetry: P-1
Final energy, eV/atom: -5.4222

a b c (Å): 3.6208 4.4143 11.3286
angles (deg): 89.87 81.04 90.00
With the nearest neighbours (Å) after each atom.
Fractional coordinates of all 6 atoms:
Tb (0.0750, 0.2509, 0.3457)  2 Br 2.82, 6 Pt 3.00-3.11
Tb (0.9250, 0.7491, 0.6543)  2 Br 2.82, 6 Pt 3.00-3.11
Pt (0.4658, 0.2496, 0.5716)  2 Pt 2.73, 4 Tb 3.00
Pt (0.5342, 0.7504, 0.4284)  2 Pt 2.73, 4 Tb 3.00
Br (0.3308, 0.7475, 0.8475)  2 Tb 2.82
Br (0.6692, 0.2525, 0.1525)  2 Tb 2.82